(1)
AcUAg | OQMD via LeMat-Bulk | PBE-GGA | relaxed; crystal system = cubic; spin magnetization = 4.158 μB/f.u.; uncorrected energy = -5.29 eV per atom; energy of formation from the pure elements = 2.35 eV/f.u.
1.0
0.000 3.673 3.673
3.673 0.000 3.673
3.673 3.673 0.000
U Ac Ag
1 1 1
Cartesian
5.510 5.510 5.510 U
1.837 1.837 1.837 Ac
0.000 0.000 0.000 Ag

=====

(2)
Sc2Cu2GePb | OQMD via LeMat-Bulk | PBE-GGA | relaxed; crystal system = monoclinic; spin magnetization = 0.001 μB/f.u.; uncorrected energy = -5.16 eV per atom
1.0
10.656 0.000 0.000
0.000 4.347 0.000
-3.555 0.000 10.055
Cu Sc Pb Ge
8 8 4 4
Cartesian
7.101 2.174 6.289 Cu
7.046 0.000 2.390 Cu
0.049 0.000 7.439 Cu
3.456 0.000 4.918 Cu
3.621 2.174 8.909 Cu
3.516 2.174 1.340 Cu
-0.019 0.000 0.108 Cu
0.088 2.174 3.739 Cu
2.704 0.000 7.552 Sc
2.629 2.174 3.727 Sc
-0.810 2.174 6.199 Sc
2.632 0.000 0.110 Sc
-0.836 0.000 2.515 Sc
6.170 2.174 1.258 Sc
6.148 0.000 4.933 Sc
6.214 2.174 8.934 Sc
-2.657 0.000 7.558 Pb
7.994 2.174 3.741 Pb
0.878 2.174 8.807 Pb
4.426 2.174 6.284 Pb
0.904 0.000 4.999 Ge
0.893 2.174 1.291 Ge
7.998 0.000 0.026 Ge
4.415 0.000 2.507 Ge

=====

(3)
POsO2F6 | OQMD via LeMat-Bulk | PBE-GGA | relaxed; crystal system = triclinic; spin magnetization = 3.000 μB/f.u.; uncorrected energy = -5.67 eV per atom
1.0
-2.894 -4.200 -0.139
3.654 -4.208 3.710
-3.614 1.435 5.728
F O Os P
12 4 2 2
Cartesian
0.585 -2.886 7.253 F
-3.439 -4.086 2.046 F
1.586 -4.326 3.291 F
-1.859 -2.197 6.619 F
-1.212 -6.319 4.868 F
-0.995 -4.775 2.680 F
-2.696 -4.792 6.341 F
-2.542 -3.156 4.171 F
-1.642 -0.654 4.431 F
-4.440 -2.647 6.008 F
-0.157 -2.181 2.958 F
-0.311 -3.816 5.128 F
-2.218 -1.676 1.774 O
0.686 -6.858 3.004 O
-0.636 -5.297 7.525 O
-3.540 -0.114 6.295 O
-3.006 -1.690 5.224 Os
0.152 -5.283 4.075 Os
-0.739 -1.350 1.819 P
-2.115 -5.623 7.479 P

=====

(4)
SmAlPt | OQMD via LeMat-Bulk | PBE-GGA | relaxed; crystal system = orthorhombic; spin magnetization = 0.000 μB/f.u.; uncorrected energy = -5.94 eV per atom
1.0
-5.271 -1.226 4.556
1.853 -3.920 1.089
4.092 3.514 5.681
Sm Pt Al
4 4 4
Cartesian
3.658 1.857 5.047 Sm
0.470 0.771 6.558 Sm
-2.983 -3.489 6.280 Sm
0.204 -2.402 4.768 Sm
1.220 -0.704 9.150 Pt
-2.052 -0.571 6.023 Pt
2.726 -1.061 5.303 Pt
-0.546 -0.928 2.176 Pt
1.469 0.365 3.399 Al
3.343 -0.094 7.734 Al
-0.795 -1.997 7.927 Al
-2.669 -1.538 3.592 Al

=====

(5)
Tb2PbAu | OQMD via LeMat-Bulk | PBE-GGA | relaxed; crystal system = orthorhombic; spin magnetization = 0.002 μB/f.u.; uncorrected energy = -4.71 eV per atom
1.0
4.548 0.000 0.000
0.000 2.056 5.721
0.000 -2.056 5.721
Tb Au Pb
2 1 1
Cartesian
0.000 0.000 9.776 Tb
2.274 0.000 1.573 Tb
0.000 0.000 6.801 Au
2.274 0.000 4.736 Pb

=====

(6)
MgTaAsO | OQMD via LeMat-Bulk | PBE-GGA | relaxed; crystal system = orthorhombic; spin magnetization = 0.000 μB/f.u.; uncorrected energy = -6.75 eV per atom
1.0
-3.222 -1.713 -2.023
4.016 -2.979 -3.871
0.112 -3.818 3.054
As Mg O Ta
2 2 2 2
Cartesian
2.630 -5.416 0.399 As
1.538 -2.739 -0.131 As
1.901 -7.093 -1.323 Mg
-0.945 -3.114 -0.161 Mg
-0.822 -4.886 1.145 O
1.768 -4.940 -2.933 O
0.900 -4.148 2.080 Ta
3.269 -4.039 -1.786 Ta

=====

(7)
PrErTh | OQMD via LeMat-Bulk | PBE-GGA | relaxed; crystal system = cubic; spin magnetization = 0.008 μB/f.u.; uncorrected energy = -4.82 eV per atom; energy of formation from the pure elements = 2.30 eV/f.u.
1.0
0.000 3.852 3.852
3.852 0.000 3.852
3.852 3.852 0.000
Th Er Pr
1 1 1
Cartesian
5.778 5.778 5.778 Th
0.000 0.000 0.000 Er
1.926 1.926 1.926 Pr

=====

(8)
In8Co2S | OQMD via LeMat-Bulk | PBE-GGA | relaxed; crystal system = tetragonal; spin magnetization = 0.001 μB/f.u.; uncorrected energy = -3.73 eV per atom
1.0
-5.221 8.288 -0.862
-8.092 -5.286 -1.805
-2.017 -0.253 9.783
In S Co
32 4 8
Cartesian
-11.239 4.061 0.848 In
-8.013 1.331 5.244 In
-3.284 -1.211 2.352 In
-7.553 -2.739 -1.628 In
-7.971 1.797 -1.597 In
-10.164 1.938 3.057 In
-11.942 0.741 0.617 In
-10.401 -0.708 6.000 In
-12.047 3.960 4.763 In
-6.140 3.304 6.982 In
-7.098 4.056 3.744 In
-5.343 1.205 -1.071 In
-4.091 -1.313 6.267 In
-8.233 -1.308 3.371 In
-3.389 2.008 6.498 In
-6.513 6.821 3.936 In
-0.348 -0.044 1.686 In
-12.749 0.639 4.533 In
-8.187 4.191 0.463 In
-7.318 1.418 1.871 In
-8.818 -4.073 3.179 In
-5.167 0.811 4.058 In
-5.760 5.740 -1.039 In
-10.683 2.409 -2.141 In
-4.930 3.456 1.115 In
-2.581 2.109 2.583 In
-9.191 -0.556 0.133 In
-5.934 -1.290 0.785 In
-2.631 0.593 -0.527 In
-1.670 -0.210 8.097 In
-9.397 4.039 6.330 In
-7.144 -1.442 6.653 In
-4.046 -2.643 -0.903 S
-5.055 -2.769 3.989 S
-3.619 4.017 4.460 S
-2.611 4.144 -0.431 S
-10.677 1.870 5.589 Co
-9.051 -2.935 5.624 Co
-6.280 5.684 1.491 Co
-8.077 -2.813 0.901 Co
-9.633 2.001 0.529 Co
-4.654 0.878 1.527 Co
-7.254 5.562 6.214 Co
-5.697 0.747 6.586 Co

=====

- What is the uncorrected energy in the fifth record?
  -4.71 eV per atom